Entry from Alexandria: GaHCl after structural relaxation (PBE-GGA).

## Properties
Energy above the most stable polymorph in this dataset: 2.35 eV/f.u.

Cell lengths 3.794, 3.940, 13.501 Å; angles 84.63, 85.38, 66.71 degrees
Space group P-1 (No. 2)
Inequivalent atoms, fractional coordinates:
Ga: 0.181 0.203 0.454
H: 0.363 0.336 0.895
Cl: 0.224 0.233 0.295



Entry from Alexandria: CaSbAs3 after structural relaxation (PBE-GGA).

## Properties
Energy relative to the elements, uncorrected: 0.80 eV per atom
Energy above the most stable polymorph in this dataset: 2.53 eV/f.u.

Cell lengths 5.306, 5.306, 5.306 Å; angles 90.00, 90.00, 90.00 degrees
Space group Pm-3m (No. 221)
Inequivalent atoms, fractional coordinates:
Ca: 0.000 0.000 0.000
Sb: 0.500 0.500 0.500
As: 0.000 0.000 0.500



Entry from Alexandria: RbSc2Br2 after structural relaxation (PBE-GGA).

## Properties
Energy relative to the elements, uncorrected: -0.43 eV per atom
Energy above the most stable polymorph in this dataset: 0.00 eV/f.u.

Cell lengths 5.218, 5.218, 11.617 Å; angles 90.00, 90.00, 90.00 degrees
Space group I4/mmm (No. 139)
Inequivalent atoms, fractional coordinates:
Rb: 0.000 0.000 0.000
Sc: 0.000 0.000 0.372
Br: 0.000 0.500 0.250



Entry from Alexandria: SrSb2Cl after structural relaxation (PBE-GGA).

## Properties
Energy relative to the elements, uncorrected: -1.00 eV per atom
Energy above the most stable polymorph in this dataset: 0.15 eV/f.u.

Cell lengths 9.688, 4.209, 7.705 Å; angles 90.00, 120.24, 90.00 degrees
Space group Cm (No. 8)
Inequivalent atoms, fractional coordinates:
Sr: 0.000 0.000 0.000
Sb: 0.223 0.500 0.450
Sb: 0.458 0.000 0.602
Cl: 0.296 0.000 0.998



Entry from Alexandria: Pa2SiIr3 after structural relaxation (PBE-GGA).

## Properties
Energy relative to the elements, uncorrected: -0.94 eV per atom
Energy above the most stable polymorph in this dataset: 0.09 eV/f.u.

Cell lengths 5.5066, 5.5066, 12.0643 Å; angles 90.00, 90.00, 120.00 degrees
Space group R-3m (No. 166, hexagonal axes)
Inequivalent atoms, fractional coordinates:
Pa: 0.0000 0.0000 0.1212
Si: 0.0000 0.0000 0.5000
Ir: 0.0000 0.5000 0.0000



Entry from Alexandria: KTb2Er after structural relaxation (PBE-GGA).

## Properties
Formation enthalpy at 0 K: 0.230 eV/atom

Cell lengths 3.5757, 3.5757, 39.6322 Å; angles 90.00, 90.00, 120.00 degrees
Space group R-3m (No. 166, hexagonal axes)
Inequivalent atoms, fractional coordinates:
K: 0.0000 0.0000 0.0000
Tb: 0.0000 0.0000 0.0962
Er: 0.0000 0.0000 0.5000



Number 1: total energy -2.388 eV per atom, ρ 1.9 Mg/m³, total moment 0.994 μB/f.u.. Number 2: total energy -3.216 eV per atom, ρ 4.3 Mg/m³, total moment 0.000 μB/f.u.. Number 3: total energy -3.830 eV per atom, ρ 3.5 Mg/m³, total moment 1.270 μB/f.u.. Number 4: total energy -3.943 eV per atom, ρ 4.5 Mg/m³, total moment 0.000 μB/f.u.. Number 5: total energy -9.444 eV per atom, ρ 16.8 Mg/m³, total moment 0.000 μB/f.u.. Number 6: total energy -3.500 eV per atom, ρ 6.0 Mg/m³, total moment 0.000 μB/f.u..